Entry 1:
# SCAN LaScIn, single point on PBEsol structure
data_LaScIn
_chemical_formula_sum 'La1 Sc1 In1'
_symmetry_space_group_name_H-M 'P 3 m 1'
_symmetry_Int_Tables_number 156
_symmetry_space_group_name_Hall 'P 3 -2"'
_cell_length_a 3.3912
_cell_length_b 3.3912
_cell_length_c 8.1162
_cell_angle_alpha 90.00
_cell_angle_beta 90.00
_cell_angle_gamma 120.00
loop_
_atom_site_label
_atom_site_type_symbol
_atom_site_fract_x
_atom_site_fract_y
_atom_site_fract_z
La1 La 0.0000 0.0000 0.0000
Sc1 Sc 0.6667 0.3333 0.6451
In1 In 0.3333 0.6667 0.3474
# ΔE to the lowest computed polymorph	0.640	eV/f.u.
# spin magnetization	0.62	μB per cell
# density of states at the Fermi level	0.990	states/eV/atom
# VASP energy	-30.4089	eV per atom
# formation energy from the elements	-0.17	eV per atom
# crystal system	trigonal


Entry 2:
# SCAN BaIn2ReOs, single point on PBEsol structure
data_BaIn2ReOs
_chemical_formula_sum 'Ba1 In2 Re1 Os1'
_symmetry_space_group_name_H-M 'P 4/m m m'
_symmetry_Int_Tables_number 123
_symmetry_space_group_name_Hall '-P 4 2'
_cell_length_a 5.1331
_cell_length_b 5.1331
_cell_length_c 5.5063
_cell_angle_alpha 90.00
_cell_angle_beta 90.00
_cell_angle_gamma 90.00
loop_
_atom_site_label
_atom_site_type_symbol
_atom_site_fract_x
_atom_site_fract_y
_atom_site_fract_z
Ba1 Ba 0.0000 0.0000 0.0000
In1 In 0.0000 0.5000 0.5000
Re1 Re 0.5000 0.5000 0.0000
Os1 Os 0.0000 0.0000 0.5000
# spin magnetization	4.25	μB per cell
# density of states at the Fermi level	0.647	states/eV/atom
# VASP energy	-48.5193	eV per atom
# formation energy from the elements	1.34	eV per atom
# crystal system	tetragonal